1.
Computed, not measured: a geometry-optimized CaIn2Re structure at the PBE level of DFT.

Output
* magnetic moment: 0.000 μB per atom
* energy: -4.58 eV per atom
* ΔH_f (0 K): 0.40 eV per atom

Structure (CIF):
```
data_CaIn2Re
_chemical_formula_sum 'Ca1 In2 Re1'
_space_group_name_H-M_alt 'P 4 m m'
_space_group_IT_number 99
_cell_length_a 3.5618
_cell_length_b 3.5618
_cell_length_c 7.4794
_cell_angle_alpha 90.00
_cell_angle_beta 90.00
_cell_angle_gamma 90.00
loop_
_space_group_symop_operation_xyz
'x,y,z'
'-y,x,z'
'-x,-y,z'
'y,-x,z'
'-x,y,z'
'y,x,z'
'x,-y,z'
'-y,-x,z'
loop_
_atom_site_label
_atom_site_fract_x
_atom_site_fract_y
_atom_site_fract_z
_atom_site_occupancy
Ca1 0.0000 0.0000 0.0000 1
In1 0.0000 0.0000 0.5832 1
In2 0.5000 0.5000 0.3260 1
Re1 0.5000 0.5000 0.7276 1
```

2.
Computed, not measured: a geometry-optimized TaTi6Sn2 structure at the PBE level of DFT.

Output
* magnetic moment: 0.000 μB per atom
* energy: -7.51 eV per atom
* ΔH_f (0 K): -0.04 eV per atom

Structure (CIF):
```
data_TaTi6Sn2
_chemical_formula_sum 'Ta2 Ti12 Sn4'
_space_group_name_H-M_alt 'I m m m'
_space_group_IT_number 71
_space_group_name_Hall '-I 2 2'
_cell_length_a 4.7773
_cell_length_b 5.5556
_cell_length_c 12.6705
_cell_angle_alpha 90.00
_cell_angle_beta 90.00
_cell_angle_gamma 90.00
loop_
_atom_site_label
_atom_site_fract_x
_atom_site_fract_y
_atom_site_fract_z
_atom_site_occupancy
Ta1 0.0000 0.0000 0.0000 1
Ti1 0.0000 0.0000 0.2110 1
Ti2 0.0000 0.2700 0.3938 1
Sn1 0.0000 0.5000 0.1537 1
```